[1]
Entry from the Alexandria database: an optimized crystal structure of InTe2Br (GGA-PBEsol).

Unit cell a=3.1409 b=3.1409 c=38.6734 alpha=90.00 beta=90.00 gamma=120.00
Space group R-3m (No. 166, hexagonal axes)
Unique sites:
In (0.0000, 0.0000, 0.0000)
Te (0.0000, 0.0000, 0.0783)
Br (0.0000, 0.0000, 0.5000)

Properties
- energy relative to the lowest polymorph listed for this composition (eV per atom) = 0.2984
- crystal system = trigonal
- raw formation energy (eV per atom) = 0.094



[2]
Entry from the Alexandria database: an optimized crystal structure of InTe2Br (GGA-PBEsol).

Unit cell a=3.909 b=4.548 c=13.203 alpha=90.00 beta=90.00 gamma=90.00
Space group Immm (No. 71)
Unique sites:
In (0.000, 0.000, 0.000)
Te (0.000, 0.500, 0.273)
Br (0.000, 0.000, 0.500)

Properties
- energy relative to the lowest polymorph listed for this composition (eV per atom) = 0.0000
- crystal system = orthorhombic
- raw formation energy (eV per atom) = -0.204



[3]
Entry from the Alexandria database: an optimized crystal structure of In4TeBr (GGA-PBEsol).

Unit cell a=8.766 b=8.766 c=8.766 alpha=90.00 beta=90.00 gamma=90.00
Space group F-43m (No. 216)
Unique sites:
In (0.125, 0.125, 0.125)
Te (0.250, 0.250, 0.750)
Br (0.000, 0.000, 0.500)

Properties
- crystal system = cubic
- raw formation energy (eV per atom) = -0.061



[4]
Entry from the Alexandria database: an optimized crystal structure of InTe2Br (GGA-PBEsol).

Unit cell a=4.342 b=6.994 c=8.437 alpha=90.00 beta=90.00 gamma=90.00
Space group Cmm2 (No. 35)
Unique sites:
In (0.000, 0.000, 0.000)
Te (0.000, 0.000, 0.481)
Te (0.000, 0.500, 0.267)
Br (0.000, 0.500, 0.777)

Properties
- energy relative to the lowest polymorph listed for this composition (eV per atom) = 0.1102
- crystal system = orthorhombic
- raw formation energy (eV per atom) = -0.094



[5]
Entry from the Alexandria database: an optimized crystal structure of InTe2Br (GGA-PBEsol).

Unit cell a=3.848 b=3.848 c=7.462 alpha=90.00 beta=90.00 gamma=90.00
Space group P4/mmm (No. 123)
Unique sites:
In (0.000, 0.000, 0.000)
Te (0.500, 0.500, 0.200)
Br (0.000, 0.000, 0.500)

Properties
- energy relative to the lowest polymorph listed for this composition (eV per atom) = 0.1519
- crystal system = tetragonal
- raw formation energy (eV per atom) = -0.052



[6]
Entry from the Alexandria database: an optimized crystal structure of InTeBr2 (GGA-PBEsol).

Unit cell a=14.490 b=3.845 c=4.531 alpha=90.00 beta=108.18 gamma=90.00
Space group Cm (No. 8)
Unique sites:
In (0.000, 0.000, 0.000)
Te (0.318, 0.000, 0.819)
Br (0.062, 0.500, 0.562)
Br (0.303, 0.500, 0.304)

Properties
- crystal system = monoclinic
- raw formation energy (eV per atom) = -0.215



[7]
Entry from the Alexandria database: an optimized crystal structure of InTe2Br (GGA-PBEsol).

Unit cell a=4.3811 b=4.3811 c=25.8365 alpha=90.00 beta=90.00 gamma=120.00
Space group R-3m (No. 166, hexagonal axes)
Unique sites:
In (0.0000, 0.0000, 0.0000)
Te (0.0000, 0.0000, 0.3933)
Br (0.0000, 0.0000, 0.5000)

Properties
- energy relative to the lowest polymorph listed for this composition (eV per atom) = 0.0585
- crystal system = trigonal
- raw formation energy (eV per atom) = -0.146



[8]
Entry from the Alexandria database: an optimized crystal structure of Ti2In3Br9 (GGA-PBEsol).

Unit cell a=7.2317 b=7.2317 c=18.0082 alpha=90.00 beta=90.00 gamma=120.00
Space group P6_3mc (No. 186)
Unique sites:
Ti (0.3333, 0.6667, 0.0000)
Ti (0.3333, 0.6667, 0.1687)
In (0.0000, 0.0000, 0.0496)
In (0.3333, 0.6667, 0.3791)
In (0.3333, 0.6667, 0.7788)
Br (0.9998, 0.4999, 0.0833)
Br (0.1694, 0.3389, 0.2474)
Br (0.1694, 0.3388, 0.9186)

Properties
- crystal system = hexagonal
- raw formation energy (eV per atom) = -0.937



[9]
Entry from the Alexandria database: an optimized crystal structure of Ti3InBr (GGA-PBEsol).

Unit cell a=5.135 b=5.135 c=5.135 alpha=90.00 beta=90.00 gamma=90.00
Space group Pm-3m (No. 221)
Unique sites:
Ti (0.000, 0.000, 0.500)
In (0.000, 0.000, 0.000)
Br (0.500, 0.500, 0.500)

Properties
- crystal system = cubic
- raw formation energy (eV per atom) = 1.125



[10]
Entry from the Alexandria database: an optimized crystal structure of Tl2InBr (GGA-PBEsol).

Unit cell a=3.629 b=5.215 c=6.149 alpha=90.00 beta=90.00 gamma=90.00
Space group Pmm2 (No. 25)
Unique sites:
Tl (0.000, 0.000, 0.000)
Tl (0.500, 0.500, 0.499)
In (0.500, 0.500, 0.999)
Br (0.000, 0.000, 0.500)

Properties
- crystal system = orthorhombic
- raw formation energy (eV per atom) = -0.244



[11]
Entry from the Alexandria database: an optimized crystal structure of In2WBr2 (GGA-PBEsol).

Unit cell a=3.691 b=3.691 c=18.747 alpha=90.00 beta=90.00 gamma=90.00
Space group I4/mmm (No. 139)
Unique sites:
In (0.000, 0.000, 0.075)
W (0.000, 0.000, 0.500)
Br (0.000, 0.500, 0.250)

Properties
- crystal system = tetragonal
- raw formation energy (eV per atom) = 0.909



[12]
Entry from the Alexandria database: an optimized crystal structure of Y2InWBr (GGA-PBEsol).

Unit cell a=5.113 b=5.113 c=5.149 alpha=90.00 beta=90.00 gamma=90.00
Space group P4/mmm (No. 123)
Unique sites:
Y (0.000, 0.500, 0.000)
In (0.000, 0.000, 0.500)
W (0.500, 0.500, 0.500)
Br (0.000, 0.000, 0.000)

Properties
- crystal system = tetragonal
- raw formation energy (eV per atom) = 0.924



[13]
Entry from the Alexandria database: an optimized crystal structure of YIn2Br (GGA-PBEsol).

Unit cell a=3.593 b=5.225 c=5.642 alpha=90.00 beta=90.00 gamma=90.00
Space group Pmmm (No. 47)
Unique sites:
Y (0.000, 0.000, 0.000)
In (0.500, 0.500, 0.246)
Br (0.000, 0.000, 0.500)

Properties
- energy relative to the lowest polymorph listed for this composition (eV per atom) = 0.0000
- crystal system = orthorhombic
- raw formation energy (eV per atom) = -0.470



[14]
Entry from the Alexandria database: an optimized crystal structure of Y2InBr (GGA-PBEsol).

Unit cell a=4.315 b=4.315 c=11.182 alpha=90.00 beta=90.00 gamma=90.00
Space group I-4m2 (No. 119)
Unique sites:
Y (0.000, 0.000, 0.000)
Y (0.000, 0.500, 0.250)
In (0.000, 0.500, 0.750)
Br (0.000, 0.000, 0.500)

Properties
- energy relative to the lowest polymorph listed for this composition (eV per atom) = 0.1955
- crystal system = tetragonal
- raw formation energy (eV per atom) = -0.487



[15]
Entry from the Alexandria database: an optimized crystal structure of YIn2Br (GGA-PBEsol).

Unit cell a=7.565 b=7.565 c=7.565 alpha=90.00 beta=90.00 gamma=90.00
Space group Fm-3m (No. 225)
Unique sites:
Y (0.000, 0.000, 0.000)
In (0.250, 0.250, 0.250)
Br (0.000, 0.000, 0.500)

Properties
- energy relative to the lowest polymorph listed for this composition (eV per atom) = 0.3835
- crystal system = cubic
- raw formation energy (eV per atom) = -0.086



[16]
Entry from the Alexandria database: an optimized crystal structure of Y2InBr (GGA-PBEsol).

Unit cell a=7.722 b=7.735 c=3.378 alpha=90.00 beta=92.05 gamma=90.00
Space group C2/m (No. 12)
Unique sites:
Y (0.250, 0.250, 0.000)
In (0.000, 0.000, 0.500)
Br (0.000, 0.500, 0.500)

Properties
- energy relative to the lowest polymorph listed for this composition (eV per atom) = 0.0000
- crystal system = monoclinic
- raw formation energy (eV per atom) = -0.682



[17]
Entry from the Alexandria database: an optimized crystal structure of YInBr (GGA-PBEsol).

Unit cell a=6.914 b=6.914 c=6.914 alpha=90.00 beta=90.00 gamma=90.00
Space group F-43m (No. 216)
Unique sites:
Y (0.000, 0.000, 0.000)
In (0.000, 0.000, 0.500)
Br (0.250, 0.250, 0.750)

Properties
- crystal system = cubic
- raw formation energy (eV per atom) = -0.253



[18]
Entry from the Alexandria database: an optimized crystal structure of ZnInBr (GGA-PBEsol).

Unit cell a=4.685 b=5.303 c=11.258 alpha=90.00 beta=90.00 gamma=90.00
Space group Fmm2 (No. 42)
Unique sites:
Zn (0.000, 0.000, 0.000)
In (0.000, 0.000, 0.645)
Br (0.000, 0.000, 0.350)

Properties
- energy relative to the lowest polymorph listed for this composition (eV per atom) = 0.0159
- crystal system = orthorhombic
- raw formation energy (eV per atom) = -0.120



[19]
Entry from the Alexandria database: an optimized crystal structure of ZnInBr2 (GGA-PBEsol).

Unit cell a=3.719 b=4.921 c=5.489 alpha=90.00 beta=90.00 gamma=90.00
Space group Pmmm (No. 47)
Unique sites:
Zn (0.000, 0.000, 0.000)
In (0.000, 0.500, 0.500)
Br (0.500, 0.000, 0.500)
Br (0.500, 0.500, 0.000)

Properties
- energy relative to the lowest polymorph listed for this composition (eV per atom) = 0.1980
- crystal system = orthorhombic
- raw formation energy (eV per atom) = -0.210



[20]
Entry from the Alexandria database: an optimized crystal structure of ZnInBr (GGA-PBEsol).

Unit cell a=4.0932 b=4.0932 c=5.2923 alpha=90.00 beta=90.00 gamma=120.00
Space group P3m1 (No. 156)
Unique sites:
Zn (0.0000, 0.0000, 0.0000)
In (0.3333, 0.6667, 0.2831)
Br (0.6667, 0.3333, 0.6860)

Properties
- energy relative to the lowest polymorph listed for this composition (eV per atom) = 0.0000
- crystal system = trigonal
- raw formation energy (eV per atom) = -0.136



[21]
Entry from the Alexandria database: an optimized crystal structure of ZnInBr (GGA-PBEsol).

Unit cell a=6.976 b=6.976 c=6.976 alpha=90.00 beta=90.00 gamma=90.00
Space group F-43m (No. 216)
Unique sites:
Zn (0.000, 0.000, 0.000)
In (0.250, 0.250, 0.250)
Br (0.250, 0.250, 0.750)

Properties
- energy relative to the lowest polymorph listed for this composition (eV per atom) = 0.1257
- crystal system = cubic
- raw formation energy (eV per atom) = -0.010



[22]
Entry from the Alexandria database: an optimized crystal structure of ZnInBr2 (GGA-PBEsol).

Unit cell a=3.6124 b=3.6124 c=27.2567 alpha=90.00 beta=90.00 gamma=120.00
Space group R-3m (No. 166, hexagonal axes)
Unique sites:
Zn (0.0000, 0.0000, 0.0000)
In (0.0000, 0.0000, 0.5000)
Br (0.0000, 0.0000, 0.2765)

Properties
- energy relative to the lowest polymorph listed for this composition (eV per atom) = 0.0000
- crystal system = trigonal
- raw formation energy (eV per atom) = -0.408



[23]
Entry from the Alexandria database: an optimized crystal structure of ZrIn2Br6 (GGA-PBEsol).

Unit cell a=7.127 b=7.127 c=10.828 alpha=90.00 beta=90.00 gamma=90.00
Space group P4/mnc (No. 128)
Unique sites:
Zr (0.000, 0.000, 0.000)
In (0.000, 0.500, 0.250)
Br (0.000, 0.000, 0.243)
Br (0.188, 0.310, 0.500)

Properties
- crystal system = tetragonal
- raw formation energy (eV per atom) = -1.048



[24]
Entry from the Alexandria database: an optimized crystal structure of ZrIn2Br (GGA-PBEsol).

Unit cell a=3.240 b=3.240 c=9.223 alpha=90.00 beta=90.00 gamma=90.00
Space group P4mm (No. 99)
Unique sites:
Zr (0.000, 0.000, 0.000)
In (0.000, 0.000, 0.521)
In (0.500, 0.500, 0.775)
Br (0.500, 0.500, 0.182)

Properties
- crystal system = tetragonal
- raw formation energy (eV per atom) = -0.420



[25]
Entry from the Alexandria database: an optimized crystal structure of IrBr3 (GGA-PBEsol).

Unit cell a=6.360 b=11.013 c=6.395 alpha=90.00 beta=107.45 gamma=90.00
Space group C2/m (No. 12)
Unique sites:
Ir (0.000, 0.167, 0.000)
Br (0.216, 0.000, 0.225)
Br (0.244, 0.324, 0.225)

Properties
- energy relative to the lowest polymorph listed for this composition (eV per atom) = 0.0000
- crystal system = monoclinic
- raw formation energy (eV per atom) = -0.263



[26]
Entry from the Alexandria database: an optimized crystal structure of IrBr3 (GGA-PBEsol).

Unit cell a=3.163 b=3.163 c=9.123 alpha=90.00 beta=90.00 gamma=90.00
Space group P4/mmm (No. 123)
Unique sites:
Ir (0.000, 0.000, 0.000)
Br (0.000, 0.000, 0.500)
Br (0.500, 0.500, 0.170)

Properties
- energy relative to the lowest polymorph listed for this composition (eV per atom) = 0.9609
- crystal system = tetragonal
- raw formation energy (eV per atom) = 0.698



[27]
Entry from the Alexandria database: an optimized crystal structure of IrBr3 (GGA-PBEsol).

Unit cell a=5.036 b=5.036 c=5.036 alpha=90.00 beta=90.00 gamma=90.00
Space group Pm-3m (No. 221)
Unique sites:
Ir (0.000, 0.000, 0.000)
Br (0.000, 0.000, 0.500)

Properties
- energy relative to the lowest polymorph listed for this composition (eV per atom) = 0.5598
- crystal system = cubic
- raw formation energy (eV per atom) = 0.297



[28]
Entry from the Alexandria database: an optimized crystal structure of KIr2Br (GGA-PBEsol).

Unit cell a=2.951 b=2.951 c=8.640 alpha=90.00 beta=90.00 gamma=90.00
Space group P4/mmm (No. 123)
Unique sites:
K (0.000, 0.000, 0.000)
Ir (0.500, 0.500, 0.307)
Br (0.000, 0.000, 0.500)

Properties
- energy relative to the lowest polymorph listed for this composition (eV per atom) = 0.0834
- crystal system = tetragonal
- raw formation energy (eV per atom) = 1.159